(1)
KLiGe2Cl6 after structural relaxation, computed with PBE.

Calculated values
- DOS at the Fermi energy (states/eV per atom) = 0.00
- V (Å³/cell) = 1247.0
- total DFT energy (no corrections) (eV per atom) = -3.565
- energy relative to the elements, uncorrected (eV/atom) = -1.232

Geometry as CIF:
```
data_KLiGe2Cl6
_chemical_formula_sum 'K4 Li4 Ge8 Cl24'
_cell_length_a 14.1867
_cell_length_b 10.6547
_cell_length_c 10.4019
_cell_angle_alpha 90.00
_cell_angle_beta 127.52
_cell_angle_gamma 90.00
_space_group_name_H-M_alt 'C 1 2/c 1'
_space_group_IT_number 15
loop_
_space_group_symop_operation_xyz
'x,y,z'
'-x,-y,-z'
'-x,y,-z+1/2'
'x,-y,z+1/2'
'x+1/2,y+1/2,z'
'-x+1/2,-y+1/2,-z'
'-x+1/2,y+1/2,-z+1/2'
'x+1/2,-y+1/2,z+1/2'
loop_
_atom_site_label
_atom_site_type_symbol
_atom_site_fract_x
_atom_site_fract_y
_atom_site_fract_z
_atom_site_occupancy
K1 K 0.0000 0.1791 0.2500 1
Li1 Li 0.0000 0.2235 0.7500 1
Ge1 Ge 0.1892 0.4908 0.6452 1
Cl1 Cl 0.0851 0.3175 0.0140 1
Cl2 Cl 0.1137 0.0745 0.7114 1
Cl3 Cl 0.1864 0.4085 0.4328 1
```

---

(2)
ZrTc3 after structural relaxation, computed with PBE.

Calculated values
- DOS at the Fermi energy (states/eV per atom) = 0.96
- V (Å³/cell) = 259.1
- energy of formation (eV per atom) = -0.07
- total DFT energy (no corrections) (eV per atom) = -9.978

Geometry as CIF:
```
data_ZrTc3
_chemical_formula_sum 'Zr4 Tc12'
_cell_length_a 6.4617
_cell_length_b 9.0804
_cell_length_c 4.4165
_cell_angle_alpha 90.00
_cell_angle_beta 90.00
_cell_angle_gamma 90.00
_space_group_name_H-M_alt 'C m c m'
_space_group_IT_number 63
_space_group_name_Hall '-C 2c 2'
loop_
_atom_site_label
_atom_site_type_symbol
_atom_site_fract_x
_atom_site_fract_y
_atom_site_fract_z
_atom_site_occupancy
Zr1 Zr 0.0000 0.1312 0.2500 1
Tc1 Tc 0.0000 0.3960 0.7500 1
Tc2 Tc 0.2483 0.3737 0.2500 1
```

---

Q: total DFT energy (no corrections) of number 2 (ZrTc3)?
A: -9.978 eV per atom

---

Q: Among the records above, which one has the lowest total DFT energy (no corrections)?
A: ZrTc3

---

Q: Which formula does entry 1 have?
A: KLiGe2Cl6